Entry 1:
# SrCo2Ir (PBE-GGA, optimized geometry)
data_SrCo2Ir
_symmetry_space_group_name_H-M 'P 4 m m'
_symmetry_Int_Tables_number 99
_cell_length_a 3.060
_cell_length_b 3.060
_cell_length_c 7.275
_cell_angle_alpha 90.00
_cell_angle_beta 90.00
_cell_angle_gamma 90.00
loop_
_symmetry_equiv_pos_as_xyz
'x,y,z'
'-y,x,z'
'-x,-y,z'
'y,-x,z'
'-x,y,z'
'y,x,z'
'x,-y,z'
'-y,-x,z'
loop_
_atom_site_label
_atom_site_type_symbol
_atom_site_fract_x
_atom_site_fract_y
_atom_site_fract_z
Sr1 Sr 0.000 0.000 0.000
Co1 Co 0.000 0.000 0.481
Co2 Co 0.500 0.500 0.334
Ir1 Ir 0.500 0.500 0.686
# Formation enthalpy at 0 K   0.370 eV per atom
# Calculated volume   68 Å³ per cell


Entry 2:
# SiAg2Au2 (PBE-GGA, optimized geometry)
data_SiAg2Au2
_symmetry_space_group_name_H-M 'P 4/m b m'
_symmetry_Int_Tables_number 127
_symmetry_space_group_name_Hall '-P 4 2ab'
_cell_length_a 6.575
_cell_length_b 6.575
_cell_length_c 4.322
_cell_angle_alpha 90.00
_cell_angle_beta 90.00
_cell_angle_gamma 90.00
loop_
_atom_site_label
_atom_site_type_symbol
_atom_site_fract_x
_atom_site_fract_y
_atom_site_fract_z
Si1 Si 0.000 0.000 0.000
Ag1 Ag 0.155 0.345 0.500
Au1 Au 0.155 0.655 0.000
# Polymorph energy (0 for the lowest one)   0 meV/atom
# Uncorrected formation energy   0.59 eV per formula unit
# Calculated volume   187 Å³ per cell


Q: The lowest calculated volume belongs to which entry?
A: SrCo2Ir